[1]
Here is a relaxed Na3LaTc crystal from the Alexandria database. Energies are from PBE-GGA.

a = 6.7565 Å, b = 6.7565 Å, c = 6.7565 Å
α = 98.38°, β = 98.38°, γ = 98.38°
Atoms (fractional coordinates):
Na 0.0528 0.7500 0.4472
Na 0.2500 0.5528 0.9472
Na 0.4472 0.0528 0.7500
Na 0.5528 0.9472 0.2500
Na 0.7500 0.4472 0.0528
Na 0.9472 0.2500 0.5528
La 0.0000 0.0000 0.0000
La 0.5000 0.5000 0.5000
Tc 0.2500 0.2500 0.2500
Tc 0.7500 0.7500 0.7500

Properties
Space-group type: R-3c, No. 167
Energy of formation in eV per formula unit: 2.41
Energy relative to the lowest polymorph listed for this composition in eV/f.u.: 2.24
Calculated total energy in eV/atom: -3.37
Total magnetization in Bohr magnetons per cell: 0.00
DOS(E_F) in states/eV/atom: 0.723

=====

[2]
Here is a relaxed TaAl2W crystal from the Alexandria database. Energies are from PBE-GGA.

a = 2.7814 Å, b = 2.7814 Å, c = 8.3391 Å
α = 90.00°, β = 90.00°, γ = 90.00°
Atoms (fractional coordinates):
Ta 0.0000 0.0000 0.0000
Al 0.5000 0.5000 0.2535
Al 0.5000 0.5000 0.7465
W 0.0000 0.0000 0.5000

Properties
Space-group type: P4/mmm, No. 123
Energy of formation in eV per formula unit: -0.20
Energy relative to the lowest polymorph listed for this composition in eV/f.u.: 0.40
Calculated total energy in eV/atom: -8.12
Total magnetization in Bohr magnetons per cell: 0.00
DOS(E_F) in states/eV/atom: 0.595

=====

[3]
Here is a relaxed In12Ga3Hg5 crystal from the Alexandria database. Energies are from PBE-GGA.

a = 14.6597 Å, b = 14.6597 Å, c = 14.6597 Å
α = 109.47°, β = 109.47°, γ = 109.47°
Atoms (fractional coordinates):
In 0.0672 0.2354 0.1340
In 0.0672 0.3318 0.9332
In 0.0668 0.6340 0.3986
In 0.0668 0.9328 0.6682
In 0.1014 0.7354 0.6682
In 0.1014 0.8660 0.4332
In 0.1340 0.0672 0.2354
In 0.1340 0.5668 0.8986
In 0.1682 0.2354 0.6014
In 0.1682 0.4328 0.5668
In 0.2354 0.1340 0.0672
In 0.2354 0.6014 0.1682
In 0.2646 0.3318 0.8986
In 0.2646 0.4328 0.3660
In 0.3318 0.8986 0.2646
In 0.3318 0.9332 0.0672
In 0.3660 0.2646 0.4328
In 0.3660 0.6014 0.9332
In 0.3986 0.0668 0.6340
In 0.3986 0.8318 0.7646
In 0.4332 0.1014 0.8660
In 0.4328 0.3660 0.2646
In 0.4328 0.5668 0.1682
In 0.4332 0.8318 0.5672
In 0.5668 0.1682 0.4328
In 0.5672 0.4332 0.8318
In 0.5672 0.6340 0.7354
In 0.5668 0.8986 0.1340
In 0.6014 0.1682 0.2354
In 0.6014 0.9332 0.3660
In 0.6340 0.3986 0.0668
In 0.6340 0.7354 0.5672
In 0.6682 0.0668 0.9328
In 0.6682 0.1014 0.7354
In 0.7354 0.5672 0.6340
In 0.7354 0.6682 0.1014
In 0.7646 0.3986 0.8318
In 0.7646 0.8660 0.9328
In 0.8318 0.5672 0.4332
In 0.8318 0.7646 0.3986
In 0.8660 0.4332 0.1014
In 0.8660 0.9328 0.7646
In 0.8986 0.1340 0.5668
In 0.8986 0.2646 0.3318
In 0.9332 0.0672 0.3318
In 0.9332 0.3660 0.6014
In 0.9328 0.6682 0.0668
In 0.9328 0.7646 0.8660
Ga 0.1250 0.2500 0.3750
Ga 0.1250 0.3750 0.7500
Ga 0.2500 0.3750 0.1250
Ga 0.2500 0.8750 0.6250
Ga 0.3750 0.1250 0.2500
Ga 0.3750 0.7500 0.1250
Ga 0.6250 0.2500 0.8750
Ga 0.6250 0.8750 0.7500
Ga 0.7500 0.1250 0.3750
Ga 0.7500 0.6250 0.8750
Ga 0.8750 0.6250 0.2500
Ga 0.8750 0.7500 0.6250
Hg 0.0000 0.0000 0.0000
Hg 0.0000 0.0000 0.5000
Hg 0.0000 0.5000 0.0000
Hg 0.0000 0.5000 0.5000
Hg 0.1250 0.7500 0.8750
Hg 0.1250 0.8750 0.2500
Hg 0.2500 0.1250 0.8750
Hg 0.2500 0.6250 0.3750
Hg 0.3750 0.2500 0.6250
Hg 0.3750 0.6250 0.7500
Hg 0.5000 0.0000 0.0000
Hg 0.5000 0.0000 0.5000
Hg 0.5000 0.5000 0.0000
Hg 0.5000 0.5000 0.5000
Hg 0.6250 0.3750 0.2500
Hg 0.6250 0.7500 0.3750
Hg 0.7500 0.3750 0.6250
Hg 0.7500 0.8750 0.1250
Hg 0.8750 0.1250 0.7500
Hg 0.8750 0.2500 0.1250

Properties
Space-group type: Ia-3d, No. 230
Energy of formation in eV per formula unit: 2.64
Calculated total energy in eV/atom: -2.04
Total magnetization in Bohr magnetons per cell: 0.00
DOS(E_F) in states/eV/atom: 0.549

=====

[4]
Here is a relaxed Tb4TlGaN crystal from the Alexandria database. Energies are from PBE-GGA.

a = 8.4365 Å, b = 8.4365 Å, c = 6.7135 Å
α = 90.00°, β = 90.00°, γ = 133.16°
Atoms (fractional coordinates):
Tb 0.0000 0.5000 0.0000
Tb 0.0000 0.5000 0.5000
Tb 0.0794 0.9206 0.7500
Tb 0.4127 0.5873 0.7500
Tb 0.5000 0.0000 0.0000
Tb 0.5000 0.0000 0.5000
Tb 0.5873 0.4127 0.2500
Tb 0.9206 0.0794 0.2500
Tl 0.3888 0.6112 0.2500
Tl 0.6112 0.3888 0.7500
Ga 0.1185 0.8815 0.2500
Ga 0.8815 0.1185 0.7500
N 0.2506 0.7494 0.7500
N 0.7494 0.2506 0.2500

Properties
Space-group type: Cmcm, No. 63
Calculated total energy in eV/atom: -5.33
Total magnetization in Bohr magnetons per cell: 0.00
DOS(E_F) in states/eV/atom: 0.652

=====

[5]
Here is a relaxed Ho3Sc4Cd crystal from the Alexandria database. Energies are from PBE-GGA.

a = 5.6986 Å, b = 8.1458 Å, c = 9.9347 Å
α = 90.00°, β = 90.00°, γ = 90.00°
Atoms (fractional coordinates):
Ho 0.0000 0.0000 0.0000
Ho 0.0000 0.2063 0.6389
Ho 0.0000 0.7937 0.6389
Ho 0.5000 0.2937 0.1389
Ho 0.5000 0.5000 0.5000
Ho 0.5000 0.7063 0.1389
Sc 0.0000 0.3272 0.3269
Sc 0.0000 0.6728 0.3269
Sc 0.2416 0.0000 0.3281
Sc 0.2584 0.5000 0.8281
Sc 0.5000 0.1728 0.8269
Sc 0.5000 0.8272 0.8269
Sc 0.7416 0.5000 0.8281
Sc 0.7584 0.0000 0.3281
Cd 0.0000 0.5000 0.0769
Cd 0.5000 0.0000 0.5769

Properties
Space-group type: Imm2, No. 44
Energy of formation in eV per formula unit: 2.46
Calculated total energy in eV/atom: -4.69
Total magnetization in Bohr magnetons per cell: 0.00
DOS(E_F) in states/eV/atom: 1.696

=====

[6]
Here is a relaxed CeLuIrRh crystal from the Alexandria database. Energies are from PBE-GGA.

a = 6.8674 Å, b = 6.8674 Å, c = 6.8674 Å
α = 90.00°, β = 90.00°, γ = 90.00°
Atoms (fractional coordinates):
Ce 0.0000 0.0000 0.0000
Ce 0.0000 0.5000 0.5000
Ce 0.5000 0.0000 0.5000
Ce 0.5000 0.5000 0.0000
Lu 0.0000 0.0000 0.5000
Lu 0.0000 0.5000 0.0000
Lu 0.5000 0.0000 0.0000
Lu 0.5000 0.5000 0.5000
Ir 0.2500 0.2500 0.7500
Ir 0.2500 0.7500 0.2500
Ir 0.7500 0.2500 0.2500
Ir 0.7500 0.7500 0.7500
Rh 0.2500 0.2500 0.2500
Rh 0.2500 0.7500 0.7500
Rh 0.7500 0.2500 0.7500
Rh 0.7500 0.7500 0.2500

Properties
Space-group type: F-43m, No. 216
Energy of formation in eV per formula unit: -3.23
Calculated total energy in eV/atom: -7.47
Total magnetization in Bohr magnetons per cell: 1.75
DOS(E_F) in states/eV/atom: 1.301

=====

[7]
Here is a relaxed LiSiB crystal from the Alexandria database. Energies are from PBE-GGA.

a = 8.3171 Å, b = 5.9892 Å, c = 3.4238 Å
α = 90.00°, β = 90.72°, γ = 90.00°
Atoms (fractional coordinates):
Li 0.0000 0.0000 0.0000
Li 0.0321 0.5000 0.4975
Li 0.5000 0.5000 0.0000
Li 0.5321 0.0000 0.4975
Si 0.2930 0.1923 0.9912
Si 0.2930 0.8077 0.9912
Si 0.7930 0.3077 0.9912
Si 0.7930 0.6923 0.9912
B 0.3127 0.3598 0.4919
B 0.3127 0.6402 0.4919
B 0.8127 0.1402 0.4919
B 0.8127 0.8598 0.4919

Properties
Space-group type: Cm, No. 8
Calculated total energy in eV/atom: -4.72
Total magnetization in Bohr magnetons per cell: 0.00
DOS(E_F) in states/eV/atom: 0.148

=====

[8]
Here is a relaxed Al2AgPb crystal from the Alexandria database. Energies are from PBE-GGA.

a = 4.6220 Å, b = 4.6220 Å, c = 17.6331 Å
α = 90.00°, β = 90.00°, γ = 90.00°
Atoms (fractional coordinates):
Al 0.1644 0.2500 0.1250
Al 0.2500 0.6644 0.3750
Al 0.2500 0.8356 0.8750
Al 0.3356 0.2500 0.6250
Al 0.6644 0.7500 0.6250
Al 0.7500 0.1644 0.8750
Al 0.7500 0.3356 0.3750
Al 0.8356 0.7500 0.1250
Ag 0.0000 0.0000 0.0000
Ag 0.0000 0.5000 0.2500
Ag 0.5000 0.0000 0.7500
Ag 0.5000 0.5000 0.5000
Pb 0.0000 0.0000 0.5000
Pb 0.0000 0.5000 0.7500
Pb 0.5000 0.0000 0.2500
Pb 0.5000 0.5000 0.0000

Properties
Space-group type: I-42d, No. 122
Energy of formation in eV per formula unit: 0.88
Calculated total energy in eV/atom: -3.29
Total magnetization in Bohr magnetons per cell: 0.00
DOS(E_F) in states/eV/atom: 0.389

=====

[9]
Here is a relaxed ScCuHgP2 crystal from the Alexandria database. Energies are from PBE-GGA.

a = 4.4511 Å, b = 4.4511 Å, c = 5.0772 Å
α = 90.00°, β = 90.00°, γ = 90.00°
Atoms (fractional coordinates):
Sc 0.0000 0.0000 0.0000
Cu 0.0000 0.0000 0.5000
Hg 0.5000 0.5000 0.0000
P 0.0000 0.5000 0.5000
P 0.5000 0.0000 0.5000

Properties
Space-group type: P4/mmm, No. 123
Energy of formation in eV per formula unit: 1.32
Calculated total energy in eV/atom: -4.05
Total magnetization in Bohr magnetons per cell: 0.00
DOS(E_F) in states/eV/atom: 0.538

=====

[10]
Here is a relaxed NaHfTlF2 crystal from the Alexandria database. Energies are from PBE-GGA.

a = 4.8770 Å, b = 4.8770 Å, c = 5.7131 Å
α = 90.00°, β = 90.00°, γ = 90.00°
Atoms (fractional coordinates):
Na 0.0000 0.0000 0.0000
Hf 0.5000 0.5000 0.0000
Tl 0.0000 0.0000 0.5000
F 0.0000 0.5000 0.5000
F 0.5000 0.0000 0.5000

Properties
Space-group type: P4/mmm, No. 123
Calculated total energy in eV/atom: -3.58
Total magnetization in Bohr magnetons per cell: 1.64
DOS(E_F) in states/eV/atom: 1.283

=====

[11]
Here is a relaxed ReHRhW2 crystal from the Alexandria database. Energies are from PBE-GGA.

a = 4.0110 Å, b = 4.0110 Å, c = 3.9363 Å
α = 90.00°, β = 90.00°, γ = 90.00°
Atoms (fractional coordinates):
Re 0.0000 0.0000 0.0000
H 0.0000 0.0000 0.5000
Rh 0.5000 0.5000 0.0000
W 0.0000 0.5000 0.5000
W 0.5000 0.0000 0.5000

Properties
Space-group type: P4/mmm, No. 123
Energy relative to the lowest polymorph listed for this composition in eV/f.u.: 0.13
Calculated total energy in eV/atom: -9.74
Total magnetization in Bohr magnetons per cell: 0.01
DOS(E_F) in states/eV/atom: 0.535

=====

[12]
Here is a relaxed Ba3TaN crystal from the Alexandria database. Energies are from PBE-GGA.

a = 5.5139 Å, b = 5.5139 Å, c = 5.5139 Å
α = 90.00°, β = 90.00°, γ = 90.00°
Atoms (fractional coordinates):
Ba 0.0000 0.0000 0.5000
Ba 0.0000 0.5000 0.0000
Ba 0.5000 0.0000 0.0000
Ta 0.5000 0.5000 0.5000
N 0.0000 0.0000 0.0000

Properties
Space-group type: Pm-3m, No. 221
Energy relative to the lowest polymorph listed for this composition in eV/f.u.: 0.00
Calculated total energy in eV/atom: -4.39
Total magnetization in Bohr magnetons per cell: 0.00
DOS(E_F) in states/eV/atom: 1.709

=====

Question: The lowest DOS(E_F) belongs to which entry?
Answer: LiSiB